NbTcSbRu | PBE | optimized geometry

* ΔE_f (raw): -0.0910 eV per atom
* size of the total moment: 0.59 μB/f.u.
* SG: F-43m, No. 216
* calculated density: 10429 kg/m3

a = 4.5334 Å, b = 4.5334 Å, c = 4.5334 Å
α = 60.00°, β = 60.00°, γ = 60.00°
Closest atoms and distances in Å follow each position.
Element x y z (fractional)
Sb  0.2500  0.2500  0.2500  4 Tc 2.78, 4 Ru 2.78
Nb  0.7500  0.7500  0.7500  4 Tc 2.78, 4 Ru 2.78
Tc  0.5000  0.5000  0.5000  4 Nb 2.78, 4 Sb 2.78
Ru  0.0000  0.0000  0.0000  4 Sb 2.78, 4 Nb 2.78